Entry 1:
The following is a GGA-PBE calculation of crystalline KTcMo2N at its relaxed geometry, from the Alexandria database.

Unit cell a=4.615 b=4.615 c=5.958 alpha=90.00 beta=90.00 gamma=90.00
Fractional coordinates of all 5 atoms:
K1 0.000 0.000 0.000
Tc1 0.000 0.000 0.500
Mo1 0.000 0.500 0.500
Mo2 0.500 0.000 0.500
N1 0.500 0.500 0.000

Output
- DOS(E_F) (states/eV/cell) = 9.8
- density (Mg/m³) = 4.49
- space group = P4/mmm (123)
- calculated total energy (eV/atom) = -5.652

Entry 2:
The following is a GGA-PBE calculation of crystalline Li3BCl at its relaxed geometry, from the Alexandria database.

Unit cell a=4.482 b=4.482 c=4.482 alpha=90.00 beta=90.00 gamma=90.00
Fractional coordinates of all 5 atoms:
Li1 0.000 0.000 0.500
Li2 0.000 0.500 0.000
Li3 0.500 0.000 0.000
B1 0.000 0.000 0.000
Cl1 0.500 0.500 0.500

Output
- polymorph energy (0 for the lowest one) (eV per formula unit) = 0.00
- DOS(E_F) (states/eV/cell) = 0.0
- density (Mg/m³) = 1.24
- space group = Pm-3m (221)
- calculated total energy (eV/atom) = -2.818

Entry 3:
The following is a GGA-PBE calculation of crystalline Ti3GaBi at its relaxed geometry, from the Alexandria database.

Unit cell a=5.141 b=5.141 c=5.141 alpha=90.00 beta=90.00 gamma=90.00
Fractional coordinates of all 5 atoms:
Ti1 0.000 0.000 0.500
Ti2 0.000 0.500 0.000
Ti3 0.500 0.000 0.000
Ga1 0.500 0.500 0.500
Bi1 0.000 0.000 0.000

Output
- polymorph energy (0 for the lowest one) (eV per formula unit) = 6.38
- DOS(E_F) (states/eV/cell) = 5.1
- density (Mg/m³) = 5.16
- space group = Pm-3m (221)
- energy of formation from the pure elements (eV/atom) = 1.099
- calculated total energy (eV/atom) = -5.020

Entry 4:
The following is a GGA-PBE calculation of crystalline LaSmEu2 at its relaxed geometry, from the Alexandria database.

Unit cell a=12.617 b=12.617 c=12.617 alpha=17.06 beta=17.06 gamma=17.06
Fractional coordinates of all 4 atoms:
La1 0.000 0.000 0.000
Sm1 0.500 0.500 0.500
Eu1 0.249 0.249 0.249
Eu2 0.751 0.751 0.751

Output
- polymorph energy (0 for the lowest one) (eV per formula unit) = 0.00
- DOS(E_F) (states/eV/cell) = 5.6
- density (Mg/m³) = 6.53
- space group = R-3m (166)
- energy of formation from the pure elements (eV/atom) = 0.074
- calculated total energy (eV/atom) = -7.475

Entry 5:
The following is a GGA-PBE calculation of crystalline SmHoAgRu at its relaxed geometry, from the Alexandria database.

Unit cell a=5.002 b=5.002 c=5.002 alpha=60.00 beta=60.00 gamma=60.00
Fractional coordinates of all 4 atoms:
Sm1 0.000 0.000 0.000
Ho1 0.500 0.500 0.500
Ag1 0.250 0.250 0.250
Ru1 0.750 0.750 0.750

Output
- polymorph energy (0 for the lowest one) (eV per formula unit) = 0.26
- DOS(E_F) (states/eV/cell) = 3.0
- density (Mg/m³) = 9.84
- space group = F-43m (216)
- energy of formation from the pure elements (eV/atom) = -0.301
- calculated total energy (eV/atom) = -5.657

Entry 6:
The following is a GGA-PBE calculation of crystalline Pu2Be4Si3Ru at its relaxed geometry, from the Alexandria database.

Unit cell a=3.856 b=3.856 c=9.625 alpha=90.00 beta=90.00 gamma=90.00
Fractional coordinates of all 10 atoms:
Pu1 0.000 0.500 0.250
Pu2 0.500 0.000 0.750
Be1 0.000 0.000 0.000
Be2 0.000 0.500 0.632
Be3 0.500 0.000 0.368
Be4 0.500 0.500 0.000
Si1 0.000 0.500 0.868
Si2 0.500 0.000 0.132
Si3 0.500 0.500 0.500
Ru1 0.000 0.000 0.500

Output
- DOS(E_F) (states/eV/cell) = 16.5
- density (Mg/m³) = 8.23
- space group = P-4m2 (115)
- calculated total energy (eV/atom) = -7.242

Q: The highest DOS(E_F) belongs to which entry?
A: Pu2Be4Si3Ru

Q: The highest density belongs to which entry?
A: SmHoAgRu